Entry 1:
# InFeAg2

InFeAg2 at its PBEsol-relaxed geometry (meta-GGA SCAN, Alexandria).

Cell lengths 3.1011, 4.5429, 4.6674 Å; angles 90.00, 90.00, 90.00 degrees
With the nearest neighbours (Å) after each atom.
Element x y z (fractional)
1 In 0.0000 0.0000 0.0000  4 Fe 2.75, 4 Ag 2.80
2 Fe 0.5000 0.5000 0.0000  4 In 2.75, 4 Ag 2.80
3 Ag 0.0000 0.5000 0.5000  4 Ag 2.75, 4 Fe 2.80
4 Ag 0.5000 0.0000 0.5000  4 Ag 2.75, 4 In 2.80

## Properties
Crystal system: orthorhombic
VASP energy (eV/atom): -28.36
Energy of formation from the pure elements (meV/atom): 203.7

Entry 2:
# SiP2RhAu

SiP2RhAu at its PBEsol-relaxed geometry (meta-GGA SCAN, Alexandria).

Cell lengths 4.5024, 4.5024, 4.5991 Å; angles 90.00, 90.00, 90.00 degrees
With the nearest neighbours (Å) after each atom.
Element x y z (fractional)
1 Si 0.0000 0.0000 0.0000  2 Rh 2.30
2 P 0.0000 0.5000 0.5000  2 Rh 2.25
3 P 0.5000 0.0000 0.5000  2 Rh 2.25
4 Rh 0.0000 0.0000 0.5000  4 P 2.25, 2 Si 2.30
5 Au 0.5000 0.5000 0.0000  4 Si 3.18, 8 P 3.22

## Properties
Crystal system: tetragonal
VASP energy (eV/atom): -26.06
E_form (uncorrected) (meV per atom): 689

Entry 3:
# CsInSi3

CsInSi3 at its PBEsol-relaxed geometry (meta-GGA SCAN, Alexandria).

Cell lengths 5.2935, 5.2935, 5.2935 Å; angles 90.00, 90.00, 90.00 degrees
With the nearest neighbours (Å) after each atom.
Element x y z (fractional)
1 Cs 0.0000 0.0000 0.0000  12 Si 3.74
2 In 0.5000 0.5000 0.5000  6 Si 2.65
3 Si 0.0000 0.5000 0.5000  2 In 2.65
4 Si 0.5000 0.0000 0.5000  2 In 2.65
5 Si 0.5000 0.5000 0.0000  2 In 2.65

## Properties
Crystal system: cubic
VASP energy (eV/atom): -19.17
E_form (uncorrected) (meV per atom): 1077

Entry 4:
# Cd2FeAs

Cd2FeAs at its PBEsol-relaxed geometry (meta-GGA SCAN, Alexandria).

Cell lengths 4.6489, 4.6489, 4.6489 Å; angles 60.00, 60.00, 60.00 degrees
With the nearest neighbours (Å) after each atom.
Element x y z (fractional)
1 Cd 0.0000 0.0000 0.0000  4 Cd 2.85, 4 Fe 2.85
2 Cd 0.2500 0.2500 0.2500  4 As 2.85, 4 Cd 2.85
3 Fe 0.7500 0.7500 0.7500  4 As 2.85, 4 Cd 2.85
4 As 0.5000 0.5000 0.5000  4 Fe 2.85, 4 Cd 2.85

## Properties
Crystal system: cubic
VASP energy (eV/atom): -24.39
Energy of formation from the pure elements (meV/atom): 394.0

Entry 5:
# ScPIr2

ScPIr2 at its PBEsol-relaxed geometry (meta-GGA SCAN, Alexandria).

Cell lengths 3.9290, 5.2935, 5.2935 Å; angles 32.50, 90.00, 90.00 degrees
With the nearest neighbours (Å) after each atom.
Element x y z (fractional)
1 Sc 0.0000 0.0000 0.0000  4 P 2.70, 7 Ir 2.73-2.78, 2 Sc 2.96
2 P 0.5000 0.3897 0.3897  3 Ir 2.32-2.40
3 Ir 0.0000 0.2683 0.2683  2 P 2.32
4 Ir 0.5000 0.6255 0.6255  1 P 2.40

## Properties
Crystal system: orthorhombic
VASP energy (eV/atom): -42.38
Energy of formation from the pure elements (meV/atom): -673.1

Entry 6:
# BeAlSe2

BeAlSe2 at its PBEsol-relaxed geometry (meta-GGA SCAN, Alexandria).

Cell lengths 3.7689, 3.3876, 6.2006 Å; angles 90.00, 96.66, 90.00 degrees
With the nearest neighbours (Å) after each atom.
Element x y z (fractional)
1 Be 0.0000 0.0000 0.0000  4 Se 2.31
2 Al 0.5000 0.0000 0.5000  4 Se 2.53
3 Se 0.1881 0.5000 0.2397  2 Be 2.31, 2 Al 2.53
4 Se 0.8119 0.5000 0.7603  2 Be 2.31, 2 Al 2.53

## Properties
Crystal system: monoclinic
VASP energy (eV/atom): -13.24
E_form (uncorrected) (meV per atom): -171

Entry 7:
# K2SnH2OF6

K2SnH2OF6 at its PBEsol-relaxed geometry (meta-GGA SCAN, Alexandria).

Cell lengths 11.0073, 10.7629, 9.0722 Å; angles 66.78, 63.98, 49.24 degrees
With the nearest neighbours (Å) after each atom.
Element x y z (fractional)
1 K 0.0944 0.6556 0.6556  6 F 2.62-2.63, 2 H 2.89
2 K 0.2502 0.2502 0.4998  6 F 2.76-2.84
3 K 0.3444 0.9056 0.9056  6 F 2.62-2.63, 2 H 2.89
4 K 0.4998 0.4998 0.2502  6 F 2.76-2.84
5 K 0.5002 0.5002 0.7498  6 F 2.76-2.84
6 K 0.6556 0.0944 0.0944  6 F 2.62-2.63, 2 H 2.89
7 K 0.7498 0.7498 0.5002  6 F 2.76-2.84
8 K 0.9056 0.3444 0.3444  6 F 2.62-2.63, 2 H 2.89
9 Sn 0.1540 0.5960 0.1540  6 F 1.98-1.99
10 Sn 0.4040 0.8460 0.4040  6 F 1.98-1.99
11 Sn 0.5960 0.1540 0.5960  6 F 1.98-1.99
12 Sn 0.8460 0.4040 0.8460  6 F 1.98-1.99
13 H 0.0176 0.1089 0.1155  1 O 0.98
14 H 0.1089 0.0176 0.2581  1 O 0.98
15 H 0.1155 0.2581 0.0176  1 O 0.98
16 H 0.2581 0.1155 0.1089  1 O 0.98
17 H 0.7419 0.8845 0.8911  1 O 0.98
18 H 0.8845 0.7419 0.9824  1 O 0.98
19 H 0.8911 0.9824 0.7419  1 O 0.98
20 H 0.9824 0.8911 0.8845  1 O 0.98
21 O 0.0303 0.0303 0.2197  2 H 0.98
22 O 0.2197 0.2197 0.0303  2 H 0.98
23 O 0.7803 0.7803 0.9697  2 H 0.98
24 O 0.9697 0.9697 0.7803  2 H 0.98
25 F 0.0203 0.5080 0.3064  1 Sn 1.99
26 F 0.0579 0.1795 0.8555  1 Sn 1.99, 1 H 2.11
27 F 0.1445 0.5928 0.9421  1 Sn 1.99, 1 H 2.11
28 F 0.1684 0.6105 0.3565  1 Sn 1.98
29 F 0.1795 0.0579 0.4072  1 Sn 1.99, 1 H 2.11
30 F 0.3064 0.6652 0.0203  1 Sn 1.99
31 F 0.3348 0.6936 0.4920  1 Sn 1.99
32 F 0.3565 0.3646 0.1684  1 Sn 1.98
33 F 0.3646 0.3565 0.6105  1 Sn 1.98
34 F 0.3895 0.8316 0.6354  1 Sn 1.98
35 F 0.4072 0.8555 0.1795  1 Sn 1.99, 1 H 2.11
36 F 0.4920 0.9797 0.3348  1 Sn 1.99
37 F 0.5080 0.0203 0.6652  1 Sn 1.99
38 F 0.5928 0.1445 0.8205  1 Sn 1.99, 1 H 2.11
39 F 0.6105 0.1684 0.3646  1 Sn 1.98
40 F 0.6354 0.6435 0.3895  1 Sn 1.98
41 F 0.6435 0.6354 0.8316  1 Sn 1.98
42 F 0.6652 0.3064 0.5080  1 Sn 1.99
43 F 0.6936 0.3348 0.9797  1 Sn 1.99
44 F 0.8205 0.9421 0.5928  1 Sn 1.99, 1 H 2.11
45 F 0.8316 0.3895 0.6435  1 Sn 1.98
46 F 0.8555 0.4072 0.0579  1 Sn 1.99, 1 H 2.11
47 F 0.9421 0.8205 0.1445  1 Sn 1.99, 1 H 2.11
48 F 0.9797 0.4920 0.6936  1 Sn 1.99

## Properties
Crystal system: orthorhombic
VASP energy (eV/atom): -9.64

Entry 8:
# SrHfNbCd2

SrHfNbCd2 at its PBEsol-relaxed geometry (meta-GGA SCAN, Alexandria).

Cell lengths 5.4961, 5.4961, 4.7935 Å; angles 90.00, 90.00, 90.00 degrees
With the nearest neighbours (Å) after each atom.
Element x y z (fractional)
1 Sr 0.0000 0.0000 0.0000  8 Cd 3.65, 4 Nb 3.89
2 Hf 0.5000 0.5000 0.5000  2 Nb 2.40
3 Nb 0.5000 0.5000 0.0000  2 Hf 2.40
4 Cd 0.0000 0.5000 0.5000  2 Hf 2.75
5 Cd 0.5000 0.0000 0.5000  2 Hf 2.75

## Properties
Crystal system: tetragonal
VASP energy (eV/atom): -35.18
Energy of formation from the pure elements (meV/atom): 602.2

Entry 9:
# FeRe3W

FeRe3W at its PBEsol-relaxed geometry (meta-GGA SCAN, Alexandria).

Cell lengths 4.6479, 4.6479, 4.6479 Å; angles 90.00, 90.00, 90.00 degrees
With the nearest neighbours (Å) after each atom.
Element x y z (fractional)
1 Fe 0.0000 0.0000 0.0000  12 Re 3.29
2 Re 0.0000 0.5000 0.5000  2 W 2.32
3 Re 0.5000 0.0000 0.5000  2 W 2.32
4 Re 0.5000 0.5000 0.0000  2 W 2.32
5 W 0.5000 0.5000 0.5000  6 Re 2.32

## Properties
Crystal system: cubic
VASP energy (eV/atom): -57.76
Energy of formation from the pure elements (meV/atom): 2460.3

Entry 10:
# CoC3

CoC3 at its PBEsol-relaxed geometry (meta-GGA SCAN, Alexandria).

Cell lengths 3.2609, 2.4308, 4.0617 Å; angles 90.00, 109.31, 90.00 degrees
With the nearest neighbours (Å) after each atom.
Element x y z (fractional)
1 Co 0.0000 0.0000 0.0000  6 C 1.99-2.03
2 C 0.0000 0.0000 0.5000  4 C 1.62
3 C 0.2664 0.5000 0.4034  3 C 1.46-1.62
4 C 0.7336 0.5000 0.5966  3 C 1.46-1.62

## Properties
Crystal system: monoclinic
Energy above the most stable polymorph in this dataset (eV per atom): 0.000
VASP energy (eV/atom): -10.47
Energy of formation from the pure elements (meV/atom): 1435.1

Entry 11:
# SrMnFe2

SrMnFe2 at its PBEsol-relaxed geometry (meta-GGA SCAN, Alexandria).

Cell lengths 3.0130, 3.0262, 7.2458 Å; angles 90.00, 90.00, 90.00 degrees
With the nearest neighbours (Å) after each atom.
Element x y z (fractional)
1 Sr 0.0000 0.0000 0.0000  4 Sr 3.01-3.03, 4 Fe 3.13, 4 Mn 3.29
2 Mn 0.5000 0.5000 0.3447  5 Fe 2.46-2.52
3 Fe 0.0000 0.0000 0.5284  4 Fe 2.41, 4 Mn 2.52
4 Fe 0.5000 0.5000 0.6837  4 Fe 2.41, 1 Mn 2.46

## Properties
Crystal system: orthorhombic
VASP energy (eV/atom): -18.71
Energy of formation from the pure elements (meV/atom): 491.5

Entry 12:
# CsCdGe3

CsCdGe3 at its PBEsol-relaxed geometry (meta-GGA SCAN, Alexandria).

Cell lengths 5.3034, 5.3034, 5.3034 Å; angles 90.00, 90.00, 90.00 degrees
With the nearest neighbours (Å) after each atom.
Element x y z (fractional)
1 Cs 0.0000 0.0000 0.0000  12 Ge 3.75
2 Cd 0.5000 0.5000 0.5000  6 Ge 2.65
3 Ge 0.0000 0.5000 0.5000  2 Cd 2.65
4 Ge 0.5000 0.0000 0.5000  2 Cd 2.65
5 Ge 0.5000 0.5000 0.0000  2 Cd 2.65

## Properties
Crystal system: cubic
VASP energy (eV/atom): -24.48
Energy of formation from the pure elements (meV/atom): 619.7

- The highest VASP energy belongs to which entry?
  K2SnH2OF6

- Look up the VASP energy of the fourth one.
  -24.39 eV/atom